# 1
# HgAsIr (PBE, optimized geometry)
data_HgAsIr
_chemical_formula_sum 'Hg4 As4 Ir4'
_space_group_name_H-M_alt 'F -4 3 m'
_space_group_IT_number 216
_space_group_name_Hall 'F -4 2 3'
_cell_length_a 6.2647
_cell_length_b 6.2647
_cell_length_c 6.2647
_cell_angle_alpha 90.00
_cell_angle_beta 90.00
_cell_angle_gamma 90.00
loop_
_atom_site_label
_atom_site_type_symbol
_atom_site_fract_x
_atom_site_fract_y
_atom_site_fract_z
Hg1 Hg 0.0000 0.0000 0.0000
As1 As 0.0000 0.0000 0.5000
Ir1 Ir 0.2500 0.2500 0.7500
# E_form   315.5 meV/atom
# E_tot   -4.289 eV per atom
# ΔE to the lowest computed polymorph   0.329 eV per atom



# 2
# HgAsIr (PBE, optimized geometry)
data_HgAsIr
_chemical_formula_sum 'Hg4 As4 Ir4'
_space_group_name_H-M_alt 'I 4/m m m'
_space_group_IT_number 139
_space_group_name_Hall '-I 4 2'
_cell_length_a 3.8314
_cell_length_b 3.8314
_cell_length_c 19.2278
_cell_angle_alpha 90.00
_cell_angle_beta 90.00
_cell_angle_gamma 90.00
loop_
_atom_site_label
_atom_site_type_symbol
_atom_site_fract_x
_atom_site_fract_y
_atom_site_fract_z
Hg1 Hg 0.0000 0.0000 0.2011
As1 As 0.0000 0.0000 0.4133
Ir1 Ir 0.0000 0.5000 0.0000
# E_form   122.7 meV/atom
# E_tot   -4.481 eV per atom
# ΔE to the lowest computed polymorph   0.137 eV per atom



# 3
# HgAsIr (PBE, optimized geometry)
data_HgAsIr
_chemical_formula_sum 'Hg4 As4 Ir4'
_space_group_name_H-M_alt 'C 1 m 1'
_space_group_IT_number 8
_cell_length_a 13.1709
_cell_length_b 3.0303
_cell_length_c 6.7793
_cell_angle_alpha 90.00
_cell_angle_beta 116.32
_cell_angle_gamma 90.00
loop_
_space_group_symop_operation_xyz
'x,y,z'
'x,-y,z'
'x+1/2,y+1/2,z'
'x+1/2,-y+1/2,z'
loop_
_atom_site_label
_atom_site_type_symbol
_atom_site_fract_x
_atom_site_fract_y
_atom_site_fract_z
Hg1 Hg 0.0000 0.0000 0.0000
Hg2 Hg 0.2422 0.5000 0.9862
As1 As 0.0874 0.0000 0.4509
As2 As 0.3311 0.5000 0.4393
Ir1 Ir 0.0036 0.5000 0.6261
Ir2 Ir 0.2911 0.0000 0.6817
# E_form   25.7 meV/atom
# E_tot   -4.578 eV per atom
# ΔE to the lowest computed polymorph   0.040 eV per atom



# 4
# HgAsIr (PBE, optimized geometry)
data_HgAsIr
_chemical_formula_sum 'Hg1 As1 Ir1'
_space_group_name_H-M_alt 'P 1'
_space_group_IT_number 1
_cell_length_a 3.3678
_cell_length_b 3.4189
_cell_length_c 6.5644
_cell_angle_alpha 75.42
_cell_angle_beta 75.20
_cell_angle_gamma 60.61
loop_
_space_group_symop_operation_xyz
'x,y,z'
loop_
_atom_site_label
_atom_site_type_symbol
_atom_site_fract_x
_atom_site_fract_y
_atom_site_fract_z
Hg1 Hg 0.0000 0.0000 0.0000
As1 As 0.8521 0.8568 0.4387
Ir1 Ir 0.4477 0.4470 0.6570
# E_form   -13.8 meV/atom
# E_tot   -4.618 eV per atom
# ΔE to the lowest computed polymorph   0.000 eV per atom



# 5
# Hg2AsIr (PBE, optimized geometry)
data_Hg2AsIr
_chemical_formula_sum 'Hg2 As1 Ir1'
_space_group_name_H-M_alt 'P 4/m m m'
_space_group_IT_number 123
_space_group_name_Hall '-P 4 2'
_cell_length_a 2.9975
_cell_length_b 2.9975
_cell_length_c 8.8602
_cell_angle_alpha 90.00
_cell_angle_beta 90.00
_cell_angle_gamma 90.00
loop_
_atom_site_label
_atom_site_type_symbol
_atom_site_fract_x
_atom_site_fract_y
_atom_site_fract_z
Hg1 Hg 0.0000 0.0000 0.2206
As1 As 0.5000 0.5000 0.5000
Ir1 Ir 0.5000 0.5000 0.0000
# E_form   555.8 meV/atom
# E_tot   -2.973 eV per atom



# 6
# Hg3AsIr (PBE, optimized geometry)
data_Hg3AsIr
_chemical_formula_sum 'Hg3 As1 Ir1'
_space_group_name_H-M_alt 'P m -3 m'
_space_group_IT_number 221
_space_group_name_Hall '-P 4 2 3'
_cell_length_a 5.2631
_cell_length_b 5.2631
_cell_length_c 5.2631
_cell_angle_alpha 90.00
_cell_angle_beta 90.00
_cell_angle_gamma 90.00
loop_
_atom_site_label
_atom_site_type_symbol
_atom_site_fract_x
_atom_site_fract_y
_atom_site_fract_z
Hg1 Hg 0.0000 0.0000 0.5000
As1 As 0.5000 0.5000 0.5000
Ir1 Ir 0.0000 0.0000 0.0000
# E_form   768.9 meV/atom
# E_tot   -2.114 eV per atom
# ΔE to the lowest computed polymorph   0.000 eV per atom



# 7
# HgAsIr (PBE, optimized geometry)
data_HgAsIr
_chemical_formula_sum 'Hg2 As2 Ir2'
_space_group_name_H-M_alt 'P -1'
_space_group_IT_number 2
_cell_length_a 2.9855
_cell_length_b 4.5920
_cell_length_c 9.9647
_cell_angle_alpha 86.37
_cell_angle_beta 81.56
_cell_angle_gamma 71.32
loop_
_space_group_symop_operation_xyz
'x,y,z'
'-x,-y,-z'
loop_
_atom_site_label
_atom_site_type_symbol
_atom_site_fract_x
_atom_site_fract_y
_atom_site_fract_z
Hg1 Hg 0.0841 0.2215 0.1016
As1 As 0.3068 0.2783 0.6085
Ir1 Ir 0.4265 0.2832 0.3557
# E_form   -0.9 meV/atom
# E_tot   -4.605 eV per atom
# ΔE to the lowest computed polymorph   0.013 eV per atom



# 8
# Hg2AsIr (PBE, optimized geometry)
data_Hg2AsIr
_chemical_formula_sum 'Hg4 As2 Ir2'
_space_group_name_H-M_alt 'I m m m'
_space_group_IT_number 71
_space_group_name_Hall '-I 2 2'
_cell_length_a 2.9813
_cell_length_b 4.0940
_cell_length_c 14.1027
_cell_angle_alpha 90.00
_cell_angle_beta 90.00
_cell_angle_gamma 90.00
loop_
_atom_site_label
_atom_site_type_symbol
_atom_site_fract_x
_atom_site_fract_y
_atom_site_fract_z
Hg1 Hg 0.0000 0.0000 0.1854
As1 As 0.0000 0.5000 0.0000
Ir1 Ir 0.0000 0.5000 0.5000
# E_form   274.2 meV/atom
# E_tot   -3.254 eV per atom